{"formula": "Te2OsCl", "functional": "PBE-GGA", "state": "optimized geometry", "magnetic_moment_mub_per_atom": 0.000, "relative_energy_ev_per_atom": 0.5421, "crystal_system": "orthorhombic", "energy_ev_per_atom": -4.309, "lattice_angstrom": [[1.569, -2.802, 0.000], [1.569, 2.802, 0.000], [0.000, 0.000, 11.514]], "species": ["Te", "Te", "Os", "Cl"], "fractional_positions": [[0.000, 0.000, 0.000], [0.500, 0.500, 0.314], [0.000, 0.000, 0.500], [0.500, 0.500, 0.663]]}



{"formula": "Te2OsCl", "functional": "PBE-GGA", "state": "optimized geometry", "magnetic_moment_mub_per_atom": 0.000, "relative_energy_ev_per_atom": 0.6853, "crystal_system": "trigonal", "energy_ev_per_atom": -4.166, "lattice_angstrom": [[1.540, 0.889, 11.516], [-1.540, 0.889, 11.516], [0.000, -1.779, 11.516]], "species": ["Te", "Te", "Os", "Cl"], "fractional_positions": [[0.075, 0.075, 0.075], [0.925, 0.925, 0.925], [0.000, 0.000, 0.000], [0.500, 0.500, 0.500]]}



{"formula": "Te2OsCl", "functional": "PBE-GGA", "state": "optimized geometry", "magnetic_moment_mub_per_atom": 0.000, "relative_energy_ev_per_atom": 0.5552, "crystal_system": "cubic", "energy_ev_per_atom": -4.296, "lattice_angstrom": [[0.000, 3.408, 3.408], [3.408, 0.000, 3.408], [3.408, 3.408, 0.000]], "species": ["Te", "Te", "Os", "Cl"], "fractional_positions": [[0.250, 0.250, 0.250], [0.750, 0.750, 0.750], [0.000, 0.000, 0.000], [0.500, 0.500, 0.500]]}



{"formula": "Th3TeOsCl", "functional": "PBE-GGA", "state": "optimized geometry", "magnetic_moment_mub_per_atom": 0.000, "crystal_system": "monoclinic", "energy_ev_per_atom": -7.280, "lattice_angstrom": [[9.273, 0.000, 0.000], [0.000, 4.131, 0.000], [-0.854, 0.000, 9.633]], "species": ["Th", "Th", "Th", "Th", "Th", "Th", "Te", "Te", "Os", "Os", "Cl", "Cl"], "fractional_positions": [[0.088, 0.250, 0.348], [0.147, 0.250, 0.933], [0.341, 0.750, 0.645], [0.659, 0.250, 0.355], [0.853, 0.750, 0.067], [0.912, 0.750, 0.652], [0.376, 0.750, 0.319], [0.624, 0.250, 0.681], [0.131, 0.250, 0.650], [0.869, 0.750, 0.350], [0.368, 0.750, 0.942], [0.632, 0.250, 0.058]]}



{"formula": "VTeOsCl2", "functional": "PBE-GGA", "state": "optimized geometry", "magnetic_moment_mub_per_atom": 0.697, "crystal_system": "tetragonal", "energy_ev_per_atom": -4.078, "lattice_angstrom": [[5.339, 0.000, 0.000], [0.000, 5.339, 0.000], [0.000, 0.000, 4.970]], "species": ["V", "Te", "Os", "Cl", "Cl"], "fractional_positions": [[0.000, 0.000, 0.000], [0.500, 0.500, 0.500], [0.500, 0.500, 0.000], [0.000, 0.500, 0.500], [0.500, 0.000, 0.500]]}



{"formula": "Th3OsCl3", "functional": "PBE-GGA", "state": "optimized geometry", "magnetic_moment_mub_per_atom": 0.000, "crystal_system": "trigonal", "energy_ev_per_atom": -6.835, "lattice_angstrom": [[3.515, 2.029, 10.598], [-3.515, 2.029, 10.598], [0.000, -4.059, 10.598]], "species": ["Th", "Th", "Th", "Th", "Th", "Th", "Os", "Os", "Cl", "Cl", "Cl", "Cl", "Cl", "Cl"], "fractional_positions": [[0.107, 0.449, 0.791], [0.209, 0.893, 0.551], [0.449, 0.791, 0.107], [0.551, 0.209, 0.893], [0.791, 0.107, 0.449], [0.893, 0.551, 0.209], [0.167, 0.167, 0.167], [0.833, 0.833, 0.833], [0.058, 0.722, 0.390], [0.278, 0.610, 0.942], [0.390, 0.058, 0.722], [0.610, 0.942, 0.278], [0.722, 0.390, 0.058], [0.942, 0.278, 0.610]]}